(1)
PaNb2Fe4 after structural relaxation, computed with GGA-PBE.

## Properties
Its energy relative to the elements is 0.38 eV/atom. As for the space group: P-42m, No. 111.

a b c (Å): 6.2647 6.2647 2.8245
angles (deg): 90.00 90.00 90.00
Each line ends with the local moment (μB).
Fractional coordinates of all 7 atoms:
Fe 0.3264 0.6736 0.6449  1.94
Fe 0.3264 0.3264 0.3551  1.95
Fe 0.6736 0.3264 0.6449  1.92
Fe 0.6736 0.6736 0.3551  1.92
Pa 0.0000 0.0000 0.0000  -0.73
Nb 0.5000 0.0000 0.0000  -0.34
Nb 0.0000 0.5000 0.0000  -0.36


(2)
NbFePb after structural relaxation, computed with GGA-PBE.

## Properties
As for the space group: F-43m, No. 216. The distance to the lowest polymorph of the same formula is 0.000 eV per atom.

a b c (Å): 4.3277 4.3277 4.3277
angles (deg): 60.00 60.00 60.00
Fractional coordinates of all 3 atoms:
Fe 0.0000 0.0000 0.0000
Nb 0.2500 0.2500 0.2500
Pb 0.7500 0.7500 0.7500


(3)
NbFePb after structural relaxation, computed with GGA-PBE.

## Properties
As for the space group: F-43m, No. 216. The distance to the lowest polymorph of the same formula is 0.587 eV per atom.

a b c (Å): 4.5203 4.5203 4.5203
angles (deg): 60.00 60.00 60.00
Each line ends with the local moment (μB).
Fractional coordinates of all 3 atoms:
Nb 0.0000 0.0000 0.0000  -0.81
Fe 0.2500 0.2500 0.2500  2.38
Pb 0.7500 0.7500 0.7500  0.01


| no. | uncorrected energy (eV/atom) |
| --- | --- |
| 1 | -8.605 |
| 2 | -7.097 |
| 3 | -6.510 |